(1)
Here is a relaxed Pm2Pr6Th crystal from the Alexandria database. Energies are from PBE-GGA.

Results
* E: -4.9982 eV per atom

Geometry as CIF:
```
data_Pm2Pr6Th
_chemical_formula_sum 'Pm2 Pr6 Th1'
_symmetry_space_group_name_H-M 'P -6 m 2'
_symmetry_Int_Tables_number 187
_symmetry_space_group_name_Hall 'P -6 2'
_cell_length_a 3.6706
_cell_length_b 3.6706
_cell_length_c 27.6091
_cell_angle_alpha 90.00
_cell_angle_beta 90.00
_cell_angle_gamma 120.00
loop_
_atom_site_label
_atom_site_fract_x
_atom_site_fract_y
_atom_site_fract_z
_atom_site_occupancy
Pm1 0.0000 0.0000 0.1700 1
Pr1 0.0000 0.0000 0.3929 1
Pr2 0.6667 0.3333 0.0641 1
Pr3 0.6667 0.3333 0.2809 1
Th1 0.6667 0.3333 0.5000 1
```

***

(2)
Here is a relaxed LiPmHg2 crystal from the Alexandria database. Energies are from PBE-GGA.

Results
* E: -2.2745 eV per atom

Geometry as CIF:
```
data_LiPmHg2
_chemical_formula_sum 'Li4 Pm4 Hg8'
_symmetry_space_group_name_H-M 'F m -3 m'
_symmetry_Int_Tables_number 225
_symmetry_space_group_name_Hall '-F 4 2 3'
_cell_length_a 7.236
_cell_length_b 7.236
_cell_length_c 7.236
_cell_angle_alpha 90.00
_cell_angle_beta 90.00
_cell_angle_gamma 90.00
loop_
_atom_site_label
_atom_site_fract_x
_atom_site_fract_y
_atom_site_fract_z
_atom_site_occupancy
Li1 0.000 0.000 0.000 1
Pm1 0.000 0.000 0.500 1
Hg1 0.250 0.250 0.250 1
```

***

(3)
Here is a relaxed Rb2UAs2 crystal from the Alexandria database. Energies are from PBE-GGA.

Results
* E: -4.9424 eV per atom

Geometry as CIF:
```
data_Rb2UAs2
_chemical_formula_sum 'Rb4 U2 As4'
_symmetry_space_group_name_H-M 'C 1 2/m 1'
_symmetry_Int_Tables_number 12
_cell_length_a 7.531
_cell_length_b 4.348
_cell_length_c 12.740
_cell_angle_alpha 90.00
_cell_angle_beta 102.77
_cell_angle_gamma 90.00
loop_
_symmetry_equiv_pos_as_xyz
'x,y,z'
'-x,-y,-z'
'-x,y,-z'
'x,-y,z'
'x+1/2,y+1/2,z'
'-x+1/2,-y+1/2,-z'
'-x+1/2,y+1/2,-z'
'x+1/2,-y+1/2,z'
loop_
_atom_site_label
_atom_site_fract_x
_atom_site_fract_y
_atom_site_fract_z
_atom_site_occupancy
Rb1 0.053 0.000 0.197 1
U1 0.000 0.500 0.500 1
As1 0.209 0.000 0.613 1
```

***

(4)
Here is a relaxed Y6RhAu5 crystal from the Alexandria database. Energies are from PBE-GGA.

Results
* E: -6.0578 eV per atom

Geometry as CIF:
```
data_Y6RhAu5
_chemical_formula_sum 'Y12 Rh2 Au10'
_symmetry_space_group_name_H-M 'I m m m'
_symmetry_Int_Tables_number 71
_symmetry_space_group_name_Hall '-I 2 2'
_cell_length_a 5.054
_cell_length_b 7.198
_cell_length_c 15.155
_cell_angle_alpha 90.00
_cell_angle_beta 90.00
_cell_angle_gamma 90.00
loop_
_atom_site_label
_atom_site_fract_x
_atom_site_fract_y
_atom_site_fract_z
_atom_site_occupancy
Y1 0.000 0.242 0.000 1
Y2 0.000 0.254 0.337 1
Rh1 0.000 0.500 0.500 1
Au1 0.000 0.000 0.169 1
Au2 0.000 0.000 0.500 1
Au3 0.000 0.500 0.165 1
```

***

(5)
Here is a relaxed TcBrF3 crystal from the Alexandria database. Energies are from PBE-GGA.

Results
* raw formation energy: -1564 meV per atom

Geometry as CIF:
```
data_TcBrF3
_chemical_formula_sum 'Tc4 Br4 F12'
_symmetry_space_group_name_H-M 'I m m m'
_symmetry_Int_Tables_number 71
_symmetry_space_group_name_Hall '-I 2 2'
_cell_length_a 6.189
_cell_length_b 7.455
_cell_length_c 8.362
_cell_angle_alpha 90.00
_cell_angle_beta 90.00
_cell_angle_gamma 90.00
loop_
_atom_site_label
_atom_site_fract_x
_atom_site_fract_y
_atom_site_fract_z
_atom_site_occupancy
Tc1 0.231 0.000 0.000 1
Br1 0.000 0.000 0.238 1
F1 0.000 0.500 0.351 1
F2 0.247 0.257 0.000 1
```

***

What are the density values for these records? In order: 7.0, 9.7, 4.6, 9.8, 4.0 Mg/m³.